one.
ScTcAsBr2 (PBE, optimized geometry); size of the total moment = 0.49 μB/cell
1.0
5.1553 0.0000 0.0000
0.0000 5.1553 0.0000
0.0000 0.0000 4.7468
Sc Tc As Br
1 1 1 2
Direct
0.0000 0.0000 0.0000
0.5000 0.5000 0.5000
0.5000 0.5000 0.0000
0.0000 0.5000 0.5000
0.5000 0.0000 0.5000

two.
ScTcAsBr2 (PBE, optimized geometry); size of the total moment = 4.87 μB/cell
1.0
5.0927 0.0000 0.0000
0.0000 5.0927 0.0000
0.0000 0.0000 5.5091
Sc Tc As Br
1 1 1 2
Direct
0.0000 0.0000 0.0000
0.5000 0.5000 0.5000
0.0000 0.0000 0.5000
0.0000 0.5000 0.0000
0.5000 0.0000 0.0000

Which is the most stable structure? two is the most stable.

one.
ScTlAsBr2 (PBE, optimized geometry); size of the total moment = 0.39 μB/cell
1.0
5.5395 0.0000 0.0000
0.0000 5.5395 0.0000
0.0000 0.0000 5.4503
Sc Tl As Br
1 1 1 2
Direct
0.0000 0.0000 0.0000
0.5000 0.5000 0.5000
0.5000 0.5000 0.0000
0.0000 0.5000 0.5000
0.5000 0.0000 0.5000

two.
ScTlAsBr2 (PBE, optimized geometry); size of the total moment = 0.91 μB/cell
1.0
5.3408 0.0000 0.0000
0.0000 5.3408 0.0000
0.0000 0.0000 5.3685
Sc Tl As Br
1 1 1 2
Direct
0.0000 0.0000 0.0000
0.5000 0.5000 0.5000
0.0000 0.0000 0.5000
0.0000 0.5000 0.0000
0.5000 0.0000 0.0000

Which is the most stable structure? two is the most stable.

one.
ScAsWBr2 (PBE, optimized geometry); size of the total moment = 2.93 μB/cell
1.0
5.1601 0.0000 0.0000
0.0000 5.1601 0.0000
0.0000 0.0000 4.9496
Sc As W Br
1 1 1 2
Direct
0.0000 0.0000 0.0000
0.5000 0.5000 0.0000
0.5000 0.5000 0.5000
0.0000 0.5000 0.5000
0.5000 0.0000 0.5000

two.
ScAsWBr2 (PBE, optimized geometry); size of the total moment = 4.00 μB/cell
1.0
5.0216 0.0000 0.0000
0.0000 5.0216 0.0000
0.0000 0.0000 5.6188
Sc As W Br
1 1 1 2
Direct
0.0000 0.0000 0.0000
0.0000 0.0000 0.5000
0.5000 0.5000 0.5000
0.0000 0.5000 0.0000
0.5000 0.0000 0.0000

Which is the most stable structure? one is the most stable.

one.
ScZnAsBr2 (PBE, optimized geometry); size of the total moment = 0.10 μB/cell
1.0
4.9516 0.0000 0.0000
0.0000 4.9516 0.0000
0.0000 0.0000 5.1888
Sc Zn As Br
1 1 1 2
Direct
0.0000 0.0000 0.0000
0.5000 0.5000 0.5000
0.5000 0.5000 0.0000
0.0000 0.5000 0.5000
0.5000 0.0000 0.5000

two.
ScZnAsBr2 (PBE, optimized geometry); size of the total moment = 0.00 μB/cell
1.0
5.1867 0.0000 0.0000
0.0000 5.1867 0.0000
0.0000 0.0000 5.4964
Sc Zn As Br
1 1 1 2
Direct
0.0000 0.0000 0.0000
0.5000 0.5000 0.5000
0.0000 0.0000 0.5000
0.0000 0.5000 0.0000
0.5000 0.0000 0.0000

Which is the most stable structure? two is the most stable.

one.
ZrScAs2Br (PBE, optimized geometry); size of the total moment = 0.91 μB/cell
1.0
5.1051 0.0000 0.0000
0.0000 5.1051 0.0000
0.0000 0.0000 4.9783
Zr Sc As Br
1 1 2 1
Direct
0.0000 0.0000 0.0000
0.5000 0.5000 0.5000
0.0000 0.5000 0.5000
0.5000 0.0000 0.5000
0.5000 0.5000 0.0000

two.
ZrScAs2Br (PBE, optimized geometry); size of the total moment = 0.53 μB/cell
1.0
5.2125 0.0000 0.0000
0.0000 5.2125 0.0000
0.0000 0.0000 5.1456
Zr Sc As Br
1 1 2 1
Direct
0.0000 0.0000 0.0000
0.5000 0.5000 0.5000
0.0000 0.5000 0.0000
0.5000 0.0000 0.0000
0.0000 0.0000 0.5000

Which is the most stable structure? two is the most stable.

one.
AsSe3Br (PBE, optimized geometry); size of the total moment = 0.00 μB/cell
1.0
5.1256 0.0000 0.0000
-0.0140 7.7952 0.0000
-0.1499 -0.1655 8.5502
As Se Br
2 6 2
Direct
0.0000 0.0000 0.0000
0.4994 0.9864 0.4997
0.0830 0.7612 0.8221
0.2386 0.2513 0.9065
0.2715 0.7925 0.3141
0.5838 0.2248 0.3299
0.7368 0.7350 0.3978
0.7732 0.1935 0.8209
0.0791 0.2714 0.3866
0.5778 0.7145 0.8771

two.
AsSe3Br (PBE, optimized geometry); size of the total moment = 0.00 μB/cell
1.0
5.0858 0.0000 0.0000
0.0000 5.0858 0.0000
0.0000 0.0000 5.0858
As Se Br
1 3 1
Direct
0.0000 0.0000 0.0000
0.0000 0.0000 0.5000
0.0000 0.5000 0.0000
0.5000 0.0000 0.0000
0.5000 0.5000 0.5000

Which is the most stable structure? one is the most stable.